The following is a PBE calculation of a relaxed Tm2NiB10 crystal, from Alexandria.

Output
SG	Pbam
V	251.5	Å³/cell
ρ	6.67	g/cm3
ΔH_f (0 K)	-0.480	eV per atom

a = 5.5217 Å, b = 11.0356 Å, c = 4.1267 Å
α = 90.00°, β = 90.00°, γ = 90.00°
Last column: nearest neighbours and their distance in Å.
Fractional coordinates of all 26 atoms:
1 Tm 0.1855 0.1373 0.0000  20 B 2.81-2.97, 2 Ni 3.09
2 Tm 0.3145 0.6373 0.0000  20 B 2.81-2.97, 2 Ni 3.09
3 Tm 0.6855 0.3627 0.0000  20 B 2.81-2.97, 2 Ni 3.09
4 Tm 0.8145 0.8627 0.0000  20 B 2.81-2.97, 2 Ni 3.09
5 Ni 0.0000 0.5000 0.5000  8 B 2.07-2.11
6 Ni 0.5000 0.0000 0.5000  8 B 2.07-2.11
7 B 0.0287 0.3134 0.5000  4 B 1.64-1.76
8 B 0.1259 0.9592 0.5000  4 B 1.66-1.77
9 B 0.1592 0.8014 0.5000  5 B 1.64-1.75
10 B 0.2015 0.3856 0.1984  4 B 1.64-1.77
11 B 0.2015 0.3856 0.8016  4 B 1.64-1.77
12 B 0.2985 0.8856 0.1984  4 B 1.64-1.77
13 B 0.2985 0.8856 0.8016  4 B 1.64-1.77
14 B 0.3408 0.3014 0.5000  5 B 1.64-1.75
15 B 0.3741 0.4592 0.5000  4 B 1.66-1.77
16 B 0.4713 0.8134 0.5000  4 B 1.64-1.76
17 B 0.5287 0.1866 0.5000  4 B 1.64-1.76
18 B 0.6259 0.5408 0.5000  4 B 1.66-1.77
19 B 0.6592 0.6986 0.5000  5 B 1.64-1.75
20 B 0.7015 0.1144 0.1984  4 B 1.64-1.77
21 B 0.7015 0.1144 0.8016  4 B 1.64-1.77
22 B 0.7985 0.6144 0.1984  4 B 1.64-1.77
23 B 0.7985 0.6144 0.8016  4 B 1.64-1.77
24 B 0.8408 0.1986 0.5000  5 B 1.64-1.75
25 B 0.8741 0.0408 0.5000  4 B 1.66-1.77
26 B 0.9713 0.6866 0.5000  4 B 1.64-1.76